Record 1
Material: NaCaNb
Method: DFT, PBE-GGA
State: optimized geometry

CIF file:
```
data_NaCaNb
_symmetry_space_group_name_H-M 'P 1'
_symmetry_Int_Tables_number 1
_symmetry_space_group_name_Hall 'P 1'
_cell_length_a 4.5442
_cell_length_b 6.3646
_cell_length_c 6.7906
_cell_angle_alpha 90.42
_cell_angle_beta 91.63
_cell_angle_gamma 110.24
loop_
_atom_site_label
_atom_site_fract_x
_atom_site_fract_y
_atom_site_fract_z
Na1 0.0000 0.0000 0.0000
Na2 0.4226 0.8090 0.2846
Ca1 0.2779 0.5929 0.7367
Ca2 0.6946 0.3784 0.2423
Nb1 0.0680 0.0813 0.5407
Nb2 0.5606 0.1630 0.6742
```

Values from the calculation:
DOS(E_F): 6.39 states/eV/cell
Formation enthalpy at 0 K: 0.61 eV/atom
Crystal system: triclinic

Record 2
Material: LiThAu4
Method: DFT, PBE-GGA
State: optimized geometry

CIF file:
```
data_LiThAu4
_symmetry_space_group_name_H-M 'F -4 3 m'
_symmetry_Int_Tables_number 216
_symmetry_space_group_name_Hall 'F -4 2 3'
_cell_length_a 7.9224
_cell_length_b 7.9224
_cell_length_c 7.9224
_cell_angle_alpha 90.00
_cell_angle_beta 90.00
_cell_angle_gamma 90.00
loop_
_atom_site_label
_atom_site_fract_x
_atom_site_fract_y
_atom_site_fract_z
Li1 0.0000 0.0000 0.0000
Th1 0.2500 0.2500 0.7500
Au1 0.1260 0.1260 0.3740
```

Values from the calculation:
DOS(E_F): 19.40 states/eV/cell
Formation enthalpy at 0 K: -0.43 eV/atom
Crystal system: cubic

Record 3
Material: K2BaFe
Method: DFT, PBE-GGA
State: optimized geometry

CIF file:
```
data_K2BaFe
_symmetry_space_group_name_H-M 'R -3 m'
_symmetry_Int_Tables_number 166
_symmetry_space_group_name_Hall '-R 3 2"'
_cell_length_a 4.2384
_cell_length_b 4.2384
_cell_length_c 38.7611
_cell_angle_alpha 90.00
_cell_angle_beta 90.00
_cell_angle_gamma 120.00
loop_
_atom_site_label
_atom_site_fract_x
_atom_site_fract_y
_atom_site_fract_z
K1 0.0000 0.0000 0.2301
Ba1 0.0000 0.0000 0.0000
Fe1 0.0000 0.0000 0.5000
```

Values from the calculation:
DOS(E_F): 15.74 states/eV/cell
Formation enthalpy at 0 K: 0.87 eV/atom
Crystal system: trigonal

Record 4
Material: Pm3Ho5Tm
Method: DFT, PBE-GGA
State: optimized geometry

CIF file:
```
data_Pm3Ho5Tm
_symmetry_space_group_name_H-M 'I 4/m c m'
_symmetry_Int_Tables_number 140
_symmetry_space_group_name_Hall '-I 4 2c'
_cell_length_a 8.6997
_cell_length_b 8.6997
_cell_length_c 15.3882
_cell_angle_alpha 90.00
_cell_angle_beta 90.00
_cell_angle_gamma 90.00
loop_
_atom_site_label
_atom_site_fract_x
_atom_site_fract_y
_atom_site_fract_z
Pm1 0.0000 0.0000 0.2500
Pm2 0.1164 0.3836 0.0000
Ho1 0.0000 0.0000 0.0000
Ho2 0.2102 0.2898 0.3621
Tm1 0.0000 0.5000 0.2500
```

Values from the calculation:
DOS(E_F): 43.27 states/eV/cell
Formation enthalpy at 0 K: 0.27 eV/atom
Crystal system: tetragonal

Record 5
Material: NdDyTl
Method: DFT, PBE-GGA
State: optimized geometry

CIF file:
```
data_NdDyTl
_symmetry_space_group_name_H-M 'I 4 m m'
_symmetry_Int_Tables_number 107
_symmetry_space_group_name_Hall 'I 4 -2'
_cell_length_a 3.6676
_cell_length_b 3.6676
_cell_length_c 13.6981
_cell_angle_alpha 90.00
_cell_angle_beta 90.00
_cell_angle_gamma 90.00
loop_
_atom_site_label
_atom_site_fract_x
_atom_site_fract_y
_atom_site_fract_z
Nd1 0.0000 0.0000 0.0000
Dy1 0.0000 0.0000 0.3113
Tl1 0.0000 0.0000 0.6630
```

Values from the calculation:
DOS(E_F): 7.20 states/eV/cell
Formation enthalpy at 0 K: -0.22 eV/atom
Crystal system: tetragonal

Record 6
Material: Zr2IrPd2
Method: DFT, PBE-GGA
State: optimized geometry

CIF file:
```
data_Zr2IrPd2
_symmetry_space_group_name_H-M 'C m m m'
_symmetry_Int_Tables_number 65
_symmetry_space_group_name_Hall '-C 2 2'
_cell_length_a 3.5955
_cell_length_b 15.6217
_cell_length_c 3.2824
_cell_angle_alpha 90.00
_cell_angle_beta 90.00
_cell_angle_gamma 90.00
loop_
_atom_site_label
_atom_site_fract_x
_atom_site_fract_y
_atom_site_fract_z
Zr1 0.0000 0.1041 0.0000
Ir1 0.0000 0.5000 0.5000
Pd1 0.0000 0.3146 0.5000
```

Values from the calculation:
DOS(E_F): 5.10 states/eV/cell
Formation enthalpy at 0 K: -0.66 eV/atom
Crystal system: orthorhombic

Record 7
Material: LiAgB3
Method: DFT, PBE-GGA
State: optimized geometry

CIF file:
```
data_LiAgB3
_symmetry_space_group_name_H-M 'P m -3 m'
_symmetry_Int_Tables_number 221
_symmetry_space_group_name_Hall '-P 4 2 3'
_cell_length_a 4.2265
_cell_length_b 4.2265
_cell_length_c 4.2265
_cell_angle_alpha 90.00
_cell_angle_beta 90.00
_cell_angle_gamma 90.00
loop_
_atom_site_label
_atom_site_fract_x
_atom_site_fract_y
_atom_site_fract_z
Li1 0.0000 0.0000 0.0000
Ag1 0.5000 0.5000 0.5000
B1 0.0000 0.5000 0.5000
```

Values from the calculation:
DOS(E_F): 3.43 states/eV/cell
Formation enthalpy at 0 K: 1.88 eV/atom
Crystal system: cubic

Record 8
Material: Ni6RuPt
Method: DFT, PBE-GGA
State: optimized geometry

CIF file:
```
data_Ni6RuPt
_symmetry_space_group_name_H-M 'C m m m'
_symmetry_Int_Tables_number 65
_symmetry_space_group_name_Hall '-C 2 2'
_cell_length_a 7.2502
_cell_length_b 10.2954
_cell_length_c 10.3204
_cell_angle_alpha 90.00
_cell_angle_beta 90.00
_cell_angle_gamma 90.00
loop_
_atom_site_label
_atom_site_fract_x
_atom_site_fract_y
_atom_site_fract_z
Ni1 0.0000 0.0000 0.0000
Ni2 0.0000 0.0000 0.5000
Ni3 0.0000 0.2476 0.2467
Ni4 0.0000 0.5000 0.0000
Ni5 0.0000 0.5000 0.5000
Ni6 0.2476 0.1241 0.3728
Ni7 0.2483 0.1260 0.1228
Ru1 0.0000 0.0000 0.2495
Ru2 0.0000 0.2482 0.0000
Pt1 0.0000 0.2493 0.5000
Pt2 0.0000 0.5000 0.2498
```

Values from the calculation:
DOS(E_F): 111.46 states/eV/cell
Formation enthalpy at 0 K: 0.03 eV/atom
Crystal system: orthorhombic

Record 9
Material: NaPtAu2
Method: DFT, PBE-GGA
State: optimized geometry

CIF file:
```
data_NaPtAu2
_symmetry_space_group_name_H-M 'I -4 2 d'
_symmetry_Int_Tables_number 122
_symmetry_space_group_name_Hall 'I -4 2bw'
_cell_length_a 4.0306
_cell_length_b 4.0306
_cell_length_c 19.2074
_cell_angle_alpha 90.00
_cell_angle_beta 90.00
_cell_angle_gamma 90.00
loop_
_atom_site_label
_atom_site_fract_x
_atom_site_fract_y
_atom_site_fract_z
Na1 0.0000 0.0000 0.0000
Pt1 0.0000 0.0000 0.5000
Au1 0.2391 0.2500 0.6250
```

Values from the calculation:
DOS(E_F): 4.70 states/eV/cell
Formation enthalpy at 0 K: 0.12 eV/atom
Crystal system: tetragonal

Record 10
Material: Ce4GaCo2
Method: DFT, PBE-GGA
State: optimized geometry

CIF file:
```
data_Ce4GaCo2
_symmetry_space_group_name_H-M 'P 1'
_symmetry_Int_Tables_number 1
_symmetry_space_group_name_Hall 'P 1'
_cell_length_a 6.4634
_cell_length_b 6.6483
_cell_length_c 8.2143
_cell_angle_alpha 110.12
_cell_angle_beta 105.14
_cell_angle_gamma 102.27
loop_
_atom_site_label
_atom_site_fract_x
_atom_site_fract_y
_atom_site_fract_z
Ce1 0.0000 0.0000 0.0000
Ce2 0.0210 0.7180 0.6345
Ce3 0.1040 0.3400 0.7526
Ce4 0.1896 0.5938 0.1352
Ce5 0.4247 0.4888 0.4721
Ce6 0.5372 0.1040 0.7079
Ce7 0.6369 0.0984 0.3129
Ce8 0.7305 0.5177 0.1295
Ga1 0.0915 0.9978 0.3861
Ga2 0.4871 0.7762 0.9035
Co1 0.0294 0.3516 0.3529
Co2 0.3591 0.1689 0.0096
Co3 0.7241 0.4982 0.7795
Co4 0.7292 0.8786 0.4708
```

Values from the calculation:
DOS(E_F): 21.76 states/eV/cell
Formation enthalpy at 0 K: -0.26 eV/atom
Crystal system: triclinic

Record 11
Material: K6RbHg3
Method: DFT, PBE-GGA
State: optimized geometry

CIF file:
```
data_K6RbHg3
_symmetry_space_group_name_H-M 'P 1 21/m 1'
_symmetry_Int_Tables_number 11
_symmetry_space_group_name_Hall '-P 2yb'
_cell_length_a 11.0967
_cell_length_b 5.9970
_cell_length_c 15.2330
_cell_angle_alpha 90.00
_cell_angle_beta 91.04
_cell_angle_gamma 90.00
loop_
_atom_site_label
_atom_site_fract_x
_atom_site_fract_y
_atom_site_fract_z
K1 0.0708 0.2500 0.0904
K2 0.1592 0.7500 0.5133
K3 0.3069 0.7500 0.2315
K4 0.3550 0.7500 0.7809
K5 0.3941 0.2500 0.9637
K6 0.4163 0.2500 0.4231
Rb1 0.0815 0.2500 0.7332
Hg1 0.1130 0.2500 0.3372
Hg2 0.2335 0.7500 0.0011
Hg3 0.4019 0.2500 0.6557
```

Values from the calculation:
DOS(E_F): 8.26 states/eV/cell
Formation enthalpy at 0 K: -0.14 eV/atom
Crystal system: monoclinic

Record 12
Material: PmPrCl5
Method: DFT, PBE-GGA
State: optimized geometry

CIF file:
```
data_PmPrCl5
_symmetry_space_group_name_H-M 'C 1 2/c 1'
_symmetry_Int_Tables_number 15
_symmetry_space_group_name_Hall '-C 2yc'
_cell_length_a 11.8971
_cell_length_b 9.0561
_cell_length_c 9.6375
_cell_angle_alpha 90.00
_cell_angle_beta 113.28
_cell_angle_gamma 90.00
loop_
_atom_site_label
_atom_site_fract_x
_atom_site_fract_y
_atom_site_fract_z
Pm1 0.0000 0.0000 0.0000
Pr1 0.0000 0.4613 0.2500
Cl1 0.0000 0.1486 0.2500
Cl2 0.0095 0.3173 0.9634
Cl3 0.2480 0.0255 0.6316
```

Values from the calculation:
DOS(E_F): 12.70 states/eV/cell
Formation energy without anion corrections: -2.0470 eV per atom
Crystal system: monoclinic

Record 13
Material: Ca2SbOs
Method: DFT, PBE-GGA
State: optimized geometry

CIF file:
```
data_Ca2SbOs
_symmetry_space_group_name_H-M 'P 4/m m m'
_symmetry_Int_Tables_number 123
_symmetry_space_group_name_Hall '-P 4 2'
_cell_length_a 4.5619
_cell_length_b 4.5619
_cell_length_c 4.3131
_cell_angle_alpha 90.00
_cell_angle_beta 90.00
_cell_angle_gamma 90.00
loop_
_atom_site_label
_atom_site_fract_x
_atom_site_fract_y
_atom_site_fract_z
Ca1 0.0000 0.5000 0.0000
Sb1 0.0000 0.0000 0.5000
Os1 0.5000 0.5000 0.5000
```

Values from the calculation:
DOS(E_F): 2.37 states/eV/cell
Formation energy without anion corrections: 0.0255 eV per atom
Crystal system: tetragonal

Record 14
Material: Sr2LiPuTe4
Method: DFT, PBE-GGA
State: optimized geometry

CIF file:
```
data_Sr2LiPuTe4
_symmetry_space_group_name_H-M 'P 1 2/m 1'
_symmetry_Int_Tables_number 10
_symmetry_space_group_name_Hall '-P 2y'
_cell_length_a 7.8950
_cell_length_b 4.6047
_cell_length_c 7.9109
_cell_angle_alpha 90.00
_cell_angle_beta 109.23
_cell_angle_gamma 90.00
loop_
_atom_site_label
_atom_site_fract_x
_atom_site_fract_y
_atom_site_fract_z
Sr1 0.0000 0.0000 0.0000
Sr2 0.0000 0.5000 0.5000
Li1 0.5000 0.0000 0.5000
Pu1 0.5000 0.5000 0.0000
Te1 0.2714 0.0000 0.7557
Te2 0.2709 0.5000 0.2561
```

Values from the calculation:
DOS(E_F): 15.97 states/eV/cell
Formation energy without anion corrections: -1.3251 eV per atom
Crystal system: monoclinic

Record 15
Material: PPbAu2
Method: DFT, PBE-GGA
State: optimized geometry

CIF file:
```
data_PPbAu2
_symmetry_space_group_name_H-M 'I -4 m 2'
_symmetry_Int_Tables_number 119
_symmetry_space_group_name_Hall 'I -4 -2'
_cell_length_a 4.4719
_cell_length_b 4.4719
_cell_length_c 8.2593
_cell_angle_alpha 90.00
_cell_angle_beta 90.00
_cell_angle_gamma 90.00
loop_
_atom_site_label
_atom_site_fract_x
_atom_site_fract_y
_atom_site_fract_z
P1 0.0000 0.0000 0.0000
Pb1 0.0000 0.5000 0.7500
Au1 0.0000 0.0000 0.5000
Au2 0.0000 0.5000 0.2500
```

Values from the calculation:
DOS(E_F): 2.54 states/eV/cell
Formation enthalpy at 0 K: 0.32 eV/atom
Crystal system: tetragonal

Record 16
Material: LaPm2TcN4
Method: DFT, PBE-GGA
State: optimized geometry

CIF file:
```
data_LaPm2TcN4
_symmetry_space_group_name_H-M 'C m c m'
_symmetry_Int_Tables_number 63
_symmetry_space_group_name_Hall '-C 2c 2'
_cell_length_a 3.5466
_cell_length_b 12.0677
_cell_length_c 11.9891
_cell_angle_alpha 90.00
_cell_angle_beta 90.00
_cell_angle_gamma 90.00
loop_
_atom_site_label
_atom_site_fract_x
_atom_site_fract_y
_atom_site_fract_z
La1 0.0000 0.1189 0.2500
Pm1 0.0000 0.3683 0.0405
Tc1 0.0000 0.1484 0.7500
N1 0.0000 0.0000 0.0000
N2 0.0000 0.2669 0.6326
N3 0.0000 0.4273 0.2500
```

Values from the calculation:
DOS(E_F): 8.93 states/eV/cell
Formation energy without anion corrections: -0.9827 eV per atom
Crystal system: orthorhombic

Record 17
Material: LaSe2IN
Method: DFT, PBE-GGA
State: optimized geometry

CIF file:
```
data_LaSe2IN
_symmetry_space_group_name_H-M 'P 4/m m m'
_symmetry_Int_Tables_number 123
_symmetry_space_group_name_Hall '-P 4 2'
_cell_length_a 5.5269
_cell_length_b 5.5269
_cell_length_c 4.0648
_cell_angle_alpha 90.00
_cell_angle_beta 90.00
_cell_angle_gamma 90.00
loop_
_atom_site_label
_atom_site_fract_x
_atom_site_fract_y
_atom_site_fract_z
La1 0.0000 0.0000 0.0000
Se1 0.0000 0.5000 0.5000
I1 0.5000 0.5000 0.5000
N1 0.5000 0.5000 0.0000
```

Values from the calculation:
DOS(E_F): 3.38 states/eV/cell
Formation energy without anion corrections: 0.1912 eV per atom
Crystal system: tetragonal

Record 18
Material: Nd4TmTl7
Method: DFT, PBE-GGA
State: optimized geometry

CIF file:
```
data_Nd4TmTl7
_symmetry_space_group_name_H-M 'C 1 2/m 1'
_symmetry_Int_Tables_number 12
_symmetry_space_group_name_Hall '-C 2y'
_cell_length_a 13.7091
_cell_length_b 5.6971
_cell_length_c 11.7089
_cell_angle_alpha 90.00
_cell_angle_beta 123.12
_cell_angle_gamma 90.00
loop_
_atom_site_label
_atom_site_fract_x
_atom_site_fract_y
_atom_site_fract_z
Nd1 0.0871 0.0000 0.2818
Nd2 0.2271 0.0000 0.8297
Tm1 0.0000 0.5000 0.5000
Tl1 0.0000 0.0000 0.5000
Tl2 0.0839 0.5000 0.8174
Tl3 0.1300 0.0000 0.0354
Tl4 0.2155 0.5000 0.4025
```

Values from the calculation:
DOS(E_F): 13.51 states/eV/cell
Formation enthalpy at 0 K: -0.15 eV/atom
Crystal system: monoclinic

Record 19
Material: Ac2Ga2Ni
Method: DFT, PBE-GGA
State: optimized geometry

CIF file:
```
data_Ac2Ga2Ni
_symmetry_space_group_name_H-M 'C 1 2/m 1'
_symmetry_Int_Tables_number 12
_symmetry_space_group_name_Hall '-C 2y'
_cell_length_a 11.9835
_cell_length_b 4.1885
_cell_length_c 11.3487
_cell_angle_alpha 90.00
_cell_angle_beta 114.62
_cell_angle_gamma 90.00
loop_
_atom_site_label
_atom_site_fract_x
_atom_site_fract_y
_atom_site_fract_z
Ac1 0.0022 0.0000 0.3390
Ac2 0.1972 0.0000 0.1258
Ga1 0.0196 0.5000 0.8893
Ga2 0.1954 0.5000 0.5560
Ni1 0.1914 0.5000 0.3268
```

Values from the calculation:
DOS(E_F): 16.53 states/eV/cell
Formation enthalpy at 0 K: -0.46 eV/atom
Crystal system: monoclinic

Record 20
Material: YHg5Pd
Method: DFT, PBE-GGA
State: optimized geometry

CIF file:
```
data_YHg5Pd
_symmetry_space_group_name_H-M 'P 4/m m m'
_symmetry_Int_Tables_number 123
_symmetry_space_group_name_Hall '-P 4 2'
_cell_length_a 4.8355
_cell_length_b 4.8355
_cell_length_c 7.1214
_cell_angle_alpha 90.00
_cell_angle_beta 90.00
_cell_angle_gamma 90.00
loop_
_atom_site_label
_atom_site_fract_x
_atom_site_fract_y
_atom_site_fract_z
Y1 0.0000 0.0000 0.0000
Hg1 0.0000 0.5000 0.2900
Hg2 0.5000 0.5000 0.0000
Pd1 0.0000 0.0000 0.5000
```

Values from the calculation:
DOS(E_F): 3.83 states/eV/cell
Formation enthalpy at 0 K: -0.29 eV/atom
Crystal system: tetragonal

Record 21
Material: MoRh6W
Method: DFT, PBE-GGA
State: optimized geometry

CIF file:
```
data_MoRh6W
_symmetry_space_group_name_H-M 'R -3 m'
_symmetry_Int_Tables_number 166
_symmetry_space_group_name_Hall '-R 3 2"'
_cell_length_a 7.2581
_cell_length_b 7.2581
_cell_length_c 9.0516
_cell_angle_alpha 90.00
_cell_angle_beta 90.00
_cell_angle_gamma 120.00
loop_
_atom_site_label
_atom_site_fract_x
_atom_site_fract_y
_atom_site_fract_z
Mo1 0.0000 0.0000 0.0000
Rh1 0.0760 0.5380 0.3682
W1 0.0000 0.0000 0.5000
```

Values from the calculation:
DOS(E_F): 30.40 states/eV/cell
Formation enthalpy at 0 K: 0.61 eV/atom
Crystal system: trigonal

Record 22
Material: Hf3AlF
Method: DFT, PBE-GGA
State: optimized geometry

CIF file:
```
data_Hf3AlF
_symmetry_space_group_name_H-M 'P m -3 m'
_symmetry_Int_Tables_number 221
_symmetry_space_group_name_Hall '-P 4 2 3'
_cell_length_a 4.4816
_cell_length_b 4.4816
_cell_length_c 4.4816
_cell_angle_alpha 90.00
_cell_angle_beta 90.00
_cell_angle_gamma 90.00
loop_
_atom_site_label
_atom_site_fract_x
_atom_site_fract_y
_atom_site_fract_z
Hf1 0.0000 0.0000 0.5000
Al1 0.5000 0.5000 0.5000
F1 0.0000 0.0000 0.0000
```

Values from the calculation:
DOS(E_F): 3.82 states/eV/cell
Formation energy without anion corrections: -0.4808 eV per atom
Crystal system: cubic